An optimized crystal structure of Nd3Tl3CrSe8. Source: the Alexandria database, functional PBE.

* total DFT energy (no corrections): -75.64 eV/cell
* space group: R-3m, No. 166

Cell: 9.082 9.082 9.082 Å, 54.93 54.93 54.93°
Sites, in units of the cell vectors:
Nd (0.000, 0.500, 0.500)
Nd (0.500, 0.000, 0.500)
Nd (0.500, 0.500, 0.000)
Tl (0.000, 0.000, 0.500)
Tl (0.000, 0.500, 0.000)
Tl (0.500, 0.000, 0.000)
Cr (0.000, 0.000, 0.000)
Se (0.213, 0.213, 0.769)
Se (0.213, 0.769, 0.213)
Se (0.231, 0.787, 0.787)
Se (0.261, 0.261, 0.261)
Se (0.739, 0.739, 0.739)
Se (0.769, 0.213, 0.213)
Se (0.787, 0.231, 0.787)
Se (0.787, 0.787, 0.231)

An optimized crystal structure of Ac2BeInPt6. Source: the Alexandria database, functional PBE.

* total DFT energy (no corrections): -58.90 eV/cell
* energy relative to the elements: -0.80 eV/atom
* space group: C2/m, No. 12

Cell: 6.043 6.043 7.604 Å, 114.24 114.24 59.55°
Sites, in units of the cell vectors:
Ac (0.231, 0.231, 0.197)
Ac (0.769, 0.769, 0.803)
Be (0.000, 0.000, 0.500)
In (0.500, 0.500, 0.000)
Pt (0.237, 0.237, 0.671)
Pt (0.237, 0.712, 0.682)
Pt (0.288, 0.763, 0.318)
Pt (0.712, 0.237, 0.682)
Pt (0.763, 0.288, 0.318)
Pt (0.763, 0.763, 0.329)

An optimized crystal structure of Si2NiPt6. Source: the Alexandria database, functional PBE.

* total DFT energy (no corrections): -57.06 eV/cell
* space group: C2/m, No. 12

Cell: 5.922 5.922 8.025 Å, 127.30 127.30 37.39°
Sites, in units of the cell vectors:
Si (0.121, 0.121, 0.276)
Si (0.879, 0.879, 0.724)
Ni (0.500, 0.500, 0.000)
Pt (0.165, 0.165, 0.010)
Pt (0.199, 0.199, 0.646)
Pt (0.498, 0.498, 0.671)
Pt (0.502, 0.502, 0.329)
Pt (0.801, 0.801, 0.354)
Pt (0.835, 0.835, 0.990)

An optimized crystal structure of BaTaHg2. Source: the Alexandria database, functional PBE.

* total DFT energy (no corrections): -12.38 eV/cell
* energy relative to the elements: 0.50 eV/atom
* space group: P4/mmm, No. 123

Cell: 5.622 5.622 3.215 Å, 90.00 90.00 90.00°
Sites, in units of the cell vectors:
Ba (0.000, 0.000, 0.000)
Ta (0.500, 0.500, 0.000)
Hg (0.000, 0.500, 0.500)
Hg (0.500, 0.000, 0.500)

An optimized crystal structure of BaSrSnAs2. Source: the Alexandria database, functional PBE.

* total DFT energy (no corrections): -41.16 eV/cell
* energy relative to the elements: -0.73 eV/atom
* space group: P2/c, No. 13

Cell: 7.845 6.350 7.009 Å, 90.00 115.97 90.00°
Sites, in units of the cell vectors:
Ba (0.000, 0.222, 0.250)
Ba (0.000, 0.778, 0.750)
Sr (0.500, 0.499, 0.750)
Sr (0.500, 0.501, 0.250)
Sn (0.500, 0.000, 0.000)
Sn (0.500, 0.000, 0.500)
As (0.178, 0.280, 0.844)
As (0.178, 0.720, 0.344)
As (0.822, 0.280, 0.656)
As (0.822, 0.720, 0.156)

An optimized crystal structure of IrBr. Source: the Alexandria database, functional PBE.

* total DFT energy (no corrections): -29.49 eV/cell
* space group: P6_3/mmc, No. 194

Cell: 5.138 5.138 7.295 Å, 90.00 90.00 120.00°
Sites, in units of the cell vectors:
Ir (0.333, 0.667, 0.083)
Ir (0.333, 0.667, 0.417)
Ir (0.667, 0.333, 0.583)
Ir (0.667, 0.333, 0.917)
Br (0.000, 0.000, 0.250)
Br (0.000, 0.000, 0.750)
Br (0.333, 0.667, 0.750)
Br (0.667, 0.333, 0.250)

An optimized crystal structure of BaPbNF2. Source: the Alexandria database, functional PBE.

* total DFT energy (no corrections): -22.84 eV/cell
* space group: P4/mmm, No. 123

Cell: 4.942 4.942 5.035 Å, 90.00 90.00 90.00°
Sites, in units of the cell vectors:
Ba (0.000, 0.000, 0.000)
Pb (0.500, 0.500, 0.500)
N (0.000, 0.000, 0.500)
F (0.000, 0.500, 0.000)
F (0.500, 0.000, 0.000)

An optimized crystal structure of La6InTc2Br3. Source: the Alexandria database, functional PBE.

* total DFT energy (no corrections): -66.91 eV/cell
* space group: C2/m, No. 12

Cell: 10.630 10.630 9.425 Å, 106.09 106.09 22.65°
Sites, in units of the cell vectors:
La (0.039, 0.039, 0.274)
La (0.318, 0.318, 0.433)
La (0.337, 0.337, 0.870)
La (0.663, 0.663, 0.130)
La (0.682, 0.682, 0.567)
La (0.961, 0.961, 0.726)
In (0.500, 0.500, 0.000)
Tc (0.160, 0.160, 0.343)
Tc (0.840, 0.840, 0.657)
Br (0.176, 0.176, 0.843)
Br (0.500, 0.500, 0.500)
Br (0.824, 0.824, 0.157)

An optimized crystal structure of CePaPbO6. Source: the Alexandria database, functional PBE.

* total DFT energy (no corrections): -145.48 eV/cell
* space group: P-31c, No. 163

Cell: 6.028 6.028 9.494 Å, 90.00 90.00 120.00°
Sites, in units of the cell vectors:
Ce (0.333, 0.667, 0.250)
Ce (0.667, 0.333, 0.750)
Pa (0.333, 0.667, 0.750)
Pa (0.667, 0.333, 0.250)
Pb (0.000, 0.000, 0.000)
Pb (0.000, 0.000, 0.500)
O (0.011, 0.358, 0.638)
O (0.011, 0.652, 0.862)
O (0.348, 0.358, 0.862)
O (0.348, 0.989, 0.638)
O (0.358, 0.011, 0.138)
O (0.358, 0.348, 0.362)
O (0.642, 0.652, 0.638)
O (0.642, 0.989, 0.862)
O (0.652, 0.011, 0.362)
O (0.652, 0.642, 0.138)
O (0.989, 0.348, 0.138)
O (0.989, 0.642, 0.362)

An optimized crystal structure of LiScGe. Source: the Alexandria database, functional PBE.

* total DFT energy (no corrections): -28.01 eV/cell
* energy relative to the elements: -0.38 eV/atom
* space group: Amm2, No. 38

Cell: 4.140 8.913 8.913 Å, 19.73 90.00 90.00°
Sites, in units of the cell vectors:
Li (0.000, 0.000, 0.000)
Li (0.500, 0.443, 0.443)
Sc (0.500, 0.616, 0.616)
Sc (0.500, 0.788, 0.788)
Ge (0.000, 0.190, 0.190)
Ge (0.000, 0.358, 0.358)

An optimized crystal structure of RbPd2Au2. Source: the Alexandria database, functional PBE.

* total DFT energy (no corrections): -36.18 eV/cell
* energy relative to the elements: -0.04 eV/atom
* space group: P4/mbm, No. 127

Cell: 8.413 8.413 2.901 Å, 90.00 90.00 90.00°
Sites, in units of the cell vectors:
Rb (0.000, 0.000, 0.000)
Rb (0.500, 0.500, 0.000)
Pd (0.119, 0.381, 0.000)
Pd (0.381, 0.881, 0.000)
Pd (0.619, 0.119, 0.000)
Pd (0.881, 0.619, 0.000)
Au (0.174, 0.674, 0.500)
Au (0.326, 0.174, 0.500)
Au (0.674, 0.826, 0.500)
Au (0.826, 0.326, 0.500)

An optimized crystal structure of Cs3Hg6Bi. Source: the Alexandria database, functional PBE.

* total DFT energy (no corrections): -11.06 eV/cell
* energy relative to the elements: -0.28 eV/atom
* space group: R3m, No. 160

Cell: 8.623 8.623 8.623 Å, 113.13 113.13 113.13°
Sites, in units of the cell vectors:
Cs (0.167, 0.167, 0.665)
Cs (0.167, 0.665, 0.167)
Cs (0.665, 0.167, 0.167)
Hg (0.317, 0.604, 0.604)
Hg (0.604, 0.317, 0.604)
Hg (0.604, 0.604, 0.317)
Hg (0.728, 0.728, 0.990)
Hg (0.728, 0.990, 0.728)
Hg (0.990, 0.728, 0.728)
Bi (0.192, 0.192, 0.192)